#one
# PBE-GGA SrPRuCl2, relaxed
# * magnetic moment: 0.00 μB per formula unit
data_SrPRuCl2
_chemical_formula_sum 'Sr1 P1 Ru1 Cl2'
_cell_length_a 5.046
_cell_length_b 5.046
_cell_length_c 4.508
_cell_angle_alpha 90.00
_cell_angle_beta 90.00
_cell_angle_gamma 90.00
_space_group_name_H-M_alt 'P 4/m m m'
_space_group_IT_number 123
_space_group_name_Hall '-P 4 2'
loop_
_atom_site_label
_atom_site_fract_x
_atom_site_fract_y
_atom_site_fract_z
Sr1 0.000 0.000 0.000
P1 0.500 0.500 0.000
Ru1 0.500 0.500 0.500
Cl1 0.000 0.500 0.500

=====

#two
# PBE-GGA SrPRuCl2, relaxed
# * magnetic moment: 3.27 μB per formula unit
data_SrPRuCl2
_chemical_formula_sum 'Sr1 P1 Ru1 Cl2'
_cell_length_a 5.332
_cell_length_b 5.332
_cell_length_c 6.156
_cell_angle_alpha 90.00
_cell_angle_beta 90.00
_cell_angle_gamma 90.00
_space_group_name_H-M_alt 'P 4/m m m'
_space_group_IT_number 123
_space_group_name_Hall '-P 4 2'
loop_
_atom_site_label
_atom_site_fract_x
_atom_site_fract_y
_atom_site_fract_z
Sr1 0.000 0.000 0.000
P1 0.000 0.000 0.500
Ru1 0.500 0.500 0.500
Cl1 0.000 0.500 0.000

=====

Among the structures above, stability is smallest for #two.